## MnZnCoF6 (GGA+U)

Data for a relaxed structure of MnZnCoF6.

abc: 5.302 5.302 9.272
angles: 90.00 90.00 120.00
Last column: magnetic moment on the atom in μB.
Fractional positions:
F 0.339 0.001 0.632  0.04
F 0.661 0.999 0.368  0.04
F 0.001 0.339 0.132  0.04
F 0.661 0.001 0.868  0.04
F 0.661 0.661 0.132  0.04
F 0.001 0.661 0.368  0.04
F 0.999 0.661 0.868  0.04
F 0.339 0.999 0.132  0.04
F 0.339 0.339 0.868  0.04
F 0.999 0.339 0.632  0.04
F 0.661 0.661 0.632  0.04
F 0.339 0.339 0.368  0.04
Mn 0.000 0.000 0.500  4.71
Mn 0.000 0.000 0.000  4.71
Co 0.667 0.333 0.750  2.79
Co 0.333 0.667 0.250  2.79
Zn 0.667 0.333 0.250  0.01
Zn 0.333 0.667 0.750  0.01

Computed properties:
Its total energy is -5.149 eV per atom. The space group is P-31c.